Record 1
First-principles (PBE) data for crystalline MnVCr2Te4 at its relaxed geometry, as listed in the Alexandria database.

Structure (POSCAR):
```
MnVCr2Te4
1.0
4.136 0.000 0.000
0.000 6.076 -0.015
0.000 0.041 7.131
Te Mn Cr V
4 1 2 1
direct
0.000 0.753 0.331 Te
0.000 0.247 0.669 Te
0.500 0.750 0.837 Te
0.500 0.250 0.163 Te
0.500 0.500 0.500 Mn
0.000 0.000 0.000 Cr
0.500 0.000 0.500 Cr
0.000 0.500 0.000 V
```

Properties
raw formation energy	-0.080	eV per atom
SG	P2/m, No. 10
DOS(E_F)	6.20	states/eV per cell
crystal system	monoclinic

***

Record 2
First-principles (PBE) data for crystalline SrNiRh2 at its relaxed geometry, as listed in the Alexandria database.

Structure (POSCAR):
```
SrNiRh2
1.0
-0.258 1.421 -2.807
-3.013 0.701 0.631
2.046 6.152 2.926
Rh Sr Ni
2 1 1
direct
0.000 0.000 0.938 Rh
0.000 0.000 0.562 Rh
0.500 0.500 0.250 Sr
0.500 0.500 0.750 Ni
```

Properties
polymorph energy (0 for the lowest one)	277	meV/atom
SG	P4/mmm, No. 123
DOS(E_F)	5.21	states/eV per cell
crystal system	tetragonal

***

Record 3
First-principles (PBE) data for crystalline LiSn2Hg2 at its relaxed geometry, as listed in the Alexandria database.

Structure (POSCAR):
```
LiSn2Hg2
1.0
7.465 0.000 0.000
0.000 7.465 0.000
0.000 0.000 4.489
Sn Li Hg
4 2 4
direct
0.836 0.336 0.500 Sn
0.664 0.836 0.500 Sn
0.336 0.164 0.500 Sn
0.164 0.664 0.500 Sn
0.000 0.000 0.000 Li
0.500 0.500 0.000 Li
0.147 0.353 0.000 Hg
0.647 0.147 0.000 Hg
0.853 0.647 0.000 Hg
0.353 0.853 0.000 Hg
```

Properties
polymorph energy (0 for the lowest one)	95	meV/atom
SG	P4/mbm, No. 127
DOS(E_F)	4.69	states/eV per cell
crystal system	tetragonal

***

Record 4
First-principles (PBE) data for crystalline CePt4Rh2 at its relaxed geometry, as listed in the Alexandria database.

Structure (POSCAR):
```
CePt4Rh2
1.0
-4.500 2.898 -0.221
-4.807 -2.463 0.728
-1.956 2.255 4.560
Rh Pt Ce
2 4 1
direct
0.250 0.500 0.500 Rh
0.750 0.500 0.500 Rh
0.707 0.000 0.587 Pt
0.707 0.587 0.000 Pt
0.293 0.413 0.000 Pt
0.293 0.000 0.413 Pt
0.000 0.000 0.000 Ce
```

Properties
polymorph energy (0 for the lowest one)	0	meV/atom
SG	I4/mmm, No. 139
DOS(E_F)	6.05	states/eV per cell
crystal system	tetragonal

***

The lowest DOS(E_F) belongs to which entry?
LiSn2Hg2

***

Which value of DOS(E_F) does entry 3 give?
4.69 states/eV per cell

***

Among the records above, which one has the lowest DOS(E_F)?
LiSn2Hg2

***

Among the records above, which one has the highest DOS(E_F)?
MnVCr2Te4